[1]
First-principles (PBE) data for crystalline Ti6Ni5Ru at its relaxed geometry, as listed in Alexandria.

Computed properties:
Density of states at the Fermi level = 1.402 states/eV per atom
Calculated formation energy = -0.407 eV per atom
Calculated volume = 13.847 Å³ per atom
Space-group type = Immm

Cell lengths 7.490, 7.490, 7.490 Å; angles 146.76, 133.31, 58.51 degrees
Atoms (fractional coordinates):
Ti: 0.079 0.329 0.749
Ti: 0.248 0.000 0.248
Ti: 0.420 0.671 0.749
Ti: 0.580 0.329 0.251
Ti: 0.752 0.000 0.752
Ti: 0.921 0.671 0.251
Ni: 0.000 0.500 0.500
Ni: 0.157 0.157 0.000
Ni: 0.343 0.843 0.500
Ni: 0.657 0.157 0.500
Ni: 0.843 0.843 0.000
Ru: 0.500 0.500 0.000



[2]
First-principles (PBE) data for crystalline TiNi2Ru2 at its relaxed geometry, as listed in Alexandria.

Computed properties:
Density of states at the Fermi level = 1.794 states/eV per atom
Calculated formation energy = 0.020 eV per atom
Calculated volume = 13.435 Å³ per atom
Space-group type = P4/mbm

Cell lengths 6.413, 6.413, 3.267 Å; angles 90.00, 90.00, 90.00 degrees
Atoms (fractional coordinates):
Ti: 0.000 0.000 0.000
Ti: 0.500 0.500 0.000
Ni: 0.131 0.369 0.000
Ni: 0.369 0.869 0.000
Ni: 0.631 0.131 0.000
Ni: 0.869 0.631 0.000
Ru: 0.162 0.662 0.500
Ru: 0.338 0.162 0.500
Ru: 0.662 0.838 0.500
Ru: 0.838 0.338 0.500